Entry from Alexandria via LeMat-Bulk: an optimized crystal structure of ZnAuIF2 (PBE).

Summary:
Crystal system: tetragonal
Formation energy (no corrections) in eV per atom: -1.169
Space-group type: P4/mmm

Unit cell a=3.9837 b=6.4600 c=3.9837 alpha=90.00 beta=90.00 gamma=90.00
Closest atoms and distances in Å follow each position.
Fractional coordinates of all 5 atoms:
1 I 0.0000 0.5000 0.0000  4 Au 2.82
2 Zn 0.0000 0.0000 0.0000  4 F 1.99
3 Au 0.5000 0.5000 0.5000  4 I 2.82
4 F 0.0000 0.0000 0.5000  2 Zn 1.99
5 F 0.5000 0.0000 0.0000  2 Zn 1.99


Entry from Alexandria via LeMat-Bulk: an optimized crystal structure of In3AuF (PBE).

Summary:
Crystal system: cubic
Formation energy (no corrections) in eV per atom: -0.361
Space-group type: Pm-3m

Unit cell a=5.3765 b=5.3765 c=5.3765 alpha=90.00 beta=90.00 gamma=90.00
Closest atoms and distances in Å follow each position.
Fractional coordinates of all 5 atoms:
1 F 0.5000 0.5000 0.5000  12 In 3.80
2 Au 0.0000 0.0000 0.0000  6 In 2.69
3 In 0.0000 0.5000 0.0000  2 Au 2.69
4 In 0.0000 0.0000 0.5000  2 Au 2.69
5 In 0.5000 0.0000 0.0000  2 Au 2.69


Entry from Alexandria via LeMat-Bulk: an optimized crystal structure of InAu3F (PBE).

Summary:
Crystal system: cubic
Formation energy (no corrections) in eV per atom: 0.482
Space-group type: Pm-3m

Unit cell a=5.2347 b=5.2347 c=5.2347 alpha=90.00 beta=90.00 gamma=90.00
Closest atoms and distances in Å follow each position.
Fractional coordinates of all 5 atoms:
1 F 0.5000 0.5000 0.5000  12 Au 3.70
2 Au 0.0000 0.5000 0.0000  2 In 2.62
3 Au 0.0000 0.0000 0.5000  2 In 2.62
4 Au 0.5000 0.0000 0.0000  2 In 2.62
5 In 0.0000 0.0000 0.0000  6 Au 2.62


Entry from Alexandria via LeMat-Bulk: an optimized crystal structure of InAuF2 (PBE).

Summary:
Crystal system: tetragonal
Formation energy (no corrections) in eV per atom: -1.054
Space-group type: I-42d

Unit cell a=4.1512 b=4.1512 c=8.3934 alpha=75.68 beta=75.68 gamma=90.00
Closest atoms and distances in Å follow each position.
Fractional coordinates of all 8 atoms:
1 F 0.6034 0.1250 0.2500  2 In 2.42, 2 Au 2.49
2 F 0.1466 0.6250 0.2500  2 In 2.42, 2 Au 2.49
3 F 0.3750 0.3966 0.7500  2 In 2.42, 2 Au 2.49
4 F 0.8750 0.8534 0.7500  2 In 2.42, 2 Au 2.49
5 Au 0.0000 0.0000 0.0000  4 F 2.49
6 Au 0.7500 0.2500 0.5000  4 F 2.49
7 In 0.5000 0.5000 0.0000  4 F 2.42
8 In 0.2500 0.7500 0.5000  4 F 2.42


Entry from Alexandria via LeMat-Bulk: an optimized crystal structure of In2AuF (PBE).

Summary:
Crystal system: cubic
Formation energy (no corrections) in eV per atom: -0.778
Space-group type: Fm-3m

Unit cell a=4.8410 b=4.8410 c=4.8410 alpha=60.00 beta=60.00 gamma=60.00
Closest atoms and distances in Å follow each position.
Fractional coordinates of all 4 atoms:
1 F 0.0000 0.0000 0.0000  8 In 2.96
2 Au 0.5000 0.5000 0.5000  8 In 2.96
3 In 0.2500 0.2500 0.2500  4 Au 2.96, 4 F 2.96
4 In 0.7500 0.7500 0.7500  4 F 2.96, 4 Au 2.96


Entry from Alexandria via LeMat-Bulk: an optimized crystal structure of InAuF2 (PBE).

Summary:
Crystal system: trigonal
Formation energy (no corrections) in eV per atom: -1.087
Space-group type: R-3m

Unit cell a=8.0263 b=8.0263 c=8.0263 alpha=24.47 beta=24.47 gamma=24.47
Closest atoms and distances in Å follow each position.
Fractional coordinates of all 4 atoms:
1 F 0.9114 0.9114 0.9114  1 Au 2.07
2 F 0.0886 0.0886 0.0886  1 Au 2.07
3 Au 0.0000 0.0000 0.0000  2 F 2.07
4 In 0.5000 0.5000 0.5000  6 F 2.68


Entry from Alexandria via LeMat-Bulk: an optimized crystal structure of InAuF2 (PBE).

Summary:
Crystal system: cubic
Formation energy (no corrections) in eV per atom: -0.934
Space-group type: Fm-3m

Unit cell a=4.4756 b=4.4756 c=4.4756 alpha=60.00 beta=60.00 gamma=60.00
Closest atoms and distances in Å follow each position.
Fractional coordinates of all 4 atoms:
1 F 0.2500 0.2500 0.2500  4 In 2.74, 4 Au 2.74
2 F 0.7500 0.7500 0.7500  4 In 2.74, 4 Au 2.74
3 Au 0.5000 0.5000 0.5000  8 F 2.74
4 In 0.0000 0.0000 0.0000  8 F 2.74


Entry from Alexandria via LeMat-Bulk: an optimized crystal structure of In2AuF (PBE).

Summary:
Crystal system: trigonal
Formation energy (no corrections) in eV per atom: -0.866
Space-group type: R-3m

Unit cell a=4.2318 b=4.2318 c=7.5608 alpha=73.75 beta=73.75 gamma=60.00
Closest atoms and distances in Å follow each position.
Fractional coordinates of all 4 atoms:
1 F 0.0000 0.0000 0.0000  2 In 2.18
2 Au 0.5000 0.5000 0.5000  6 In 2.81
3 In 0.1017 0.1017 0.6948  1 F 2.18
4 In 0.8983 0.8983 0.3052  1 F 2.18


Entry from Alexandria via LeMat-Bulk: an optimized crystal structure of InAu3F (PBE).

Summary:
Crystal system: cubic
Formation energy (no corrections) in eV per atom: 0.180
Space-group type: Pm-3m

Unit cell a=4.6852 b=4.6852 c=4.6852 alpha=90.00 beta=90.00 gamma=90.00
Closest atoms and distances in Å follow each position.
Fractional coordinates of all 5 atoms:
1 F 0.0000 0.0000 0.0000  6 Au 2.34
2 Au 0.0000 0.5000 0.0000  2 F 2.34
3 Au 0.0000 0.0000 0.5000  2 F 2.34
4 Au 0.5000 0.0000 0.0000  2 F 2.34
5 In 0.5000 0.5000 0.5000  12 Au 3.31


Entry from Alexandria via LeMat-Bulk: an optimized crystal structure of In2AuF (PBE).

Summary:
Crystal system: tetragonal
Formation energy (no corrections) in eV per atom: -0.738
Space-group type: I-42d

Unit cell a=5.2524 b=5.2524 c=8.2354 alpha=71.40 beta=71.40 gamma=90.00
Closest atoms and distances in Å follow each position.
Fractional coordinates of all 8 atoms:
1 F 0.5000 0.5000 0.0000  4 In 2.48
2 F 0.2500 0.7500 0.5000  4 In 2.48
3 Au 0.0000 0.0000 0.0000  4 In 2.77
4 Au 0.7500 0.2500 0.5000  4 In 2.77
5 In 0.5687 0.1250 0.2500  2 F 2.48, 2 Au 2.77
6 In 0.1813 0.6250 0.2500  2 F 2.48, 2 Au 2.77
7 In 0.3750 0.4313 0.7500  2 F 2.48, 2 Au 2.77
8 In 0.8750 0.8187 0.7500  2 F 2.48, 2 Au 2.77


Entry from Alexandria via LeMat-Bulk: an optimized crystal structure of In3AuF (PBE).

Summary:
Crystal system: cubic
Formation energy (no corrections) in eV per atom: -0.436
Space-group type: Pm-3m

Unit cell a=4.9946 b=4.9946 c=4.9946 alpha=90.00 beta=90.00 gamma=90.00
Closest atoms and distances in Å follow each position.
Fractional coordinates of all 5 atoms:
1 F 0.0000 0.0000 0.0000  6 In 2.50
2 Au 0.5000 0.5000 0.5000  12 In 3.53
3 In 0.0000 0.5000 0.0000  2 F 2.50
4 In 0.0000 0.0000 0.5000  2 F 2.50
5 In 0.5000 0.0000 0.0000  2 F 2.50


Entry from Alexandria via LeMat-Bulk: an optimized crystal structure of KInAu2F8 (PBE).

Summary:
Crystal system: monoclinic
Formation energy (no corrections) in eV per atom: -1.633
Space-group type: C2/m

Unit cell a=5.1092 b=5.1092 c=8.5659 alpha=88.88 beta=88.88 gamma=70.55
Closest atoms and distances in Å follow each position.
Fractional coordinates of all 12 atoms:
1 K 0.0000 0.0000 0.5000  6 F 2.75-2.97
2 In 0.0000 0.0000 0.0000  6 F 2.12-2.16
3 Au 0.6951 0.6951 0.2247  2 F 1.98-2.05
4 Au 0.3049 0.3049 0.7753  2 F 1.98-2.05
5 F 0.7956 0.2477 0.8084  1 In 2.12
6 F 0.7416 0.7416 0.9886  1 Au 2.05, 1 In 2.16
7 F 0.6751 0.6751 0.4560  1 Au 1.98
8 F 0.3249 0.3249 0.5440  1 Au 1.98
9 F 0.2584 0.2584 0.0114  1 Au 2.05, 1 In 2.16
10 F 0.2477 0.7956 0.8084  1 In 2.12
11 F 0.7523 0.2044 0.1916  1 In 2.12
12 F 0.2044 0.7523 0.1916  1 In 2.12